Entry 1:
The following is a DFT calculation (PBE) of UGaTcIr after structural relaxation.

It has space group F-43m (No. 216), with a = 6.518 Å, b = 6.518 Å, c = 6.518 Å, α = 90.00°, β = 90.00° and γ = 90.00°. The distinct sites, in fractional coordinates, are U at (0.000, 0.000, 0.000), Ga at (0.000, 0.000, 0.500), Tc at (0.250, 0.250, 0.250) and Ir at (0.250, 0.250, 0.750).

The calculation puts the total moment at 5.21 μB/cell. As for the density: 14.34 Mg/m³.

***

Entry 2:
The following is a DFT calculation (PBE) of SrCaTlGa after structural relaxation.

It has space group F-43m (No. 216), with a = 7.796 Å, b = 7.796 Å, c = 7.796 Å, α = 90.00°, β = 90.00° and γ = 90.00°. The distinct sites, in fractional coordinates, are Sr at (0.000, 0.000, 0.000), Ca at (0.000, 0.000, 0.500), Tl at (0.250, 0.250, 0.250) and Ga at (0.250, 0.250, 0.750).

The calculation puts the total moment at 0.00 μB/cell. As for the density: 5.63 Mg/m³.

***

Entry 3:
The following is a DFT calculation (PBE) of Hg2AsAu after structural relaxation.

It has space group I-42d (No. 122), with a = 5.970 Å, b = 5.970 Å, c = 13.806 Å, α = 90.00°, β = 90.00° and γ = 90.00°. The distinct sites, in fractional coordinates, are Hg at (0.214, 0.250, 0.125), As at (0.000, 0.000, 0.000) and Au at (0.000, 0.000, 0.500).

The calculation puts the total moment at 0.00 μB/cell. The energy above the most stable polymorph in this dataset comes out at 0.159 eV/atom. As for the density: 9.09 Mg/m³.

***

Entry 4:
The following is a DFT calculation (PBE) of Ac4IrAu2 after structural relaxation.

It has space group I4/mmm (No. 139), with a = 5.820 Å, b = 5.820 Å, c = 15.284 Å, α = 90.00°, β = 90.00° and γ = 90.00°. The distinct sites, in fractional coordinates, are Ac at (0.000, 0.000, 0.195), Ac at (0.000, 0.500, 0.000), Ir at (0.000, 0.000, 0.000) and Au at (0.000, 0.000, 0.396).

The calculation puts the total moment at 0.00 μB/cell. The energy above the most stable polymorph in this dataset comes out at 0.153 eV/atom. As for the density: 9.58 Mg/m³.

***

Entry 5:
The following is a DFT calculation (PBE) of TbLuMgSc after structural relaxation.

It has space group F-43m (No. 216), with a = 7.558 Å, b = 7.558 Å, c = 7.558 Å, α = 90.00°, β = 90.00° and γ = 90.00°. The distinct sites, in fractional coordinates, are Tb at (0.000, 0.000, 0.000), Lu at (0.000, 0.000, 0.500), Mg at (0.250, 0.250, 0.250) and Sc at (0.250, 0.250, 0.750).

The calculation puts the total moment at 0.00 μB/cell. As for the density: 6.20 Mg/m³.

***

Entry 6:
The following is a DFT calculation (PBE) of IrAu after structural relaxation.

It has space group P6_3/mmc (No. 194), with a = 8.0212 Å, b = 8.0212 Å, c = 3.8318 Å, α = 90.00°, β = 90.00° and γ = 120.00°. The distinct sites, in fractional coordinates, are Ir at (0.1213, 0.5606, 0.2500) and Au at (0.1534, 0.3068, 0.7500).

The calculation puts the total moment at 0.00 μB/cell. The energy above the most stable polymorph in this dataset comes out at 0.183 eV/atom. As for the density: 18.16 Mg/m³.

***

Entry 7:
The following is a DFT calculation (PBE) of Cs2NaSrAu after structural relaxation.

It has space group P4/mmm (No. 123), with a = 7.007 Å, b = 7.007 Å, c = 6.298 Å, α = 90.00°, β = 90.00° and γ = 90.00°. The distinct sites, in fractional coordinates, are Cs at (0.000, 0.500, 0.000), Na at (0.000, 0.000, 0.500), Sr at (0.500, 0.500, 0.500) and Au at (0.500, 0.500, 0.000).

The calculation puts the total moment at 0.00 μB/cell. As for the density: 3.08 Mg/m³.

***

Entry 8:
The following is a DFT calculation (PBE) of Li2Cd8In after structural relaxation.

It has space group C2/m (No. 12), with a = 7.727 Å, b = 13.486 Å, c = 5.368 Å, α = 90.00°, β = 116.67° and γ = 90.00°. The distinct sites, in fractional coordinates, are Li at (0.000, 0.197, 0.000), Cd at (0.000, 0.275, 0.500), Cd at (0.079, 0.000, 0.291), Cd at (0.212, 0.381, 0.158) and In at (0.000, 0.500, 0.500).

The calculation puts the total moment at 0.00 μB/cell. The energy above the most stable polymorph in this dataset comes out at 0.041 eV/atom. As for the density: 6.83 Mg/m³.

***

| no. | E_form (eV/atom) |
| --- | --- |
| 1 | -0.2913 |
| 2 | -0.3922 |
| 3 | 0.2855 |
| 4 | -0.5154 |
| 5 | 0.0360 |
| 6 | 0.3690 |
| 7 | -0.1128 |
| 8 | -0.0416 |